Computed, not measured: a relaxed Ce3NdIr8 crystal at the GGA-PBE level of DFT.

Calculated values
Energy of formation from the pure elements = -707 meV per atom
Size of the total moment = 0.08 μB per atom
Energy above the most stable polymorph in this dataset = 0.54 eV/f.u.

a b c (Å): 5.4176 5.4176 8.8054
angles (deg): 90.00 90.00 120.00
Last column: nearest neighbours and their distance in Å.
Sites, in units of the cell vectors:
Ce: 0.0000 0.0000 0.0000  12 Ir 3.13-3.20, 4 Ce 3.13-3.36
Ce: 0.0000 0.0000 0.3553  12 Ir 3.13-3.26, 1 Ce 3.13, 3 Nd 3.37
Ce: 0.3333 0.6667 0.8619  12 Ir 3.14-3.18, 1 Nd 3.21, 3 Ce 3.36
Nd: 0.3333 0.6667 0.4974  12 Ir 3.16-3.21, 4 Ce 3.21-3.37
Ir: 0.0036 0.5018 0.1777  6 Ir 2.68-2.74
Ir: 0.3279 0.1639 0.6811  6 Ir 2.66-2.75
Ir: 0.4982 0.5018 0.1777  6 Ir 2.68-2.74
Ir: 0.4982 0.9964 0.1777  6 Ir 2.68-2.74
Ir: 0.6667 0.3333 0.4304  6 Ir 2.72-2.73
Ir: 0.6667 0.3333 0.9282  6 Ir 2.69-2.71
Ir: 0.8361 0.1639 0.6811  6 Ir 2.66-2.75
Ir: 0.8361 0.6721 0.6811  6 Ir 2.66-2.75



Computed, not measured: a relaxed GdGe4Pb crystal at the GGA-PBE level of DFT.

Calculated values
Energy of formation from the pure elements = -133 meV per atom
Size of the total moment = 1.17 μB per atom

a b c (Å): 5.7128 5.7128 5.7128
angles (deg): 60.00 60.00 60.00
Last column: nearest neighbours and their distance in Å.
Sites, in units of the cell vectors:
Gd: 0.0000 0.0000 0.0000  12 Ge 3.35, 4 Pb 3.50
Ge: 0.1258 0.6247 0.6247  6 Ge 2.85-2.86
Ge: 0.6247 0.1258 0.6247  6 Ge 2.85-2.86
Ge: 0.6247 0.6247 0.1258  6 Ge 2.85-2.86
Ge: 0.6247 0.6247 0.6247  6 Ge 2.85-2.86
Pb: 0.2500 0.2500 0.2500  12 Ge 3.35, 4 Gd 3.50



Computed, not measured: a relaxed Nd2Cd2In crystal at the GGA-PBE level of DFT.

Calculated values
Energy of formation from the pure elements = -206 meV per atom
Size of the total moment = 0.00 μB per atom
Energy above the most stable polymorph in this dataset = 0.70 eV/f.u.

a b c (Å): 5.7359 5.7359 6.1223
angles (deg): 99.14 99.14 49.22
Last column: nearest neighbours and their distance in Å.
Sites, in units of the cell vectors:
Nd: 0.2155 0.2155 0.2349  5 Cd 3.15-3.41, 3 In 3.42-3.52
Nd: 0.7845 0.7845 0.7651  5 Cd 3.15-3.41, 3 In 3.42-3.52
Cd: 0.0848 0.0848 0.7087  1 Cd 2.84, 2 Nd 3.15
Cd: 0.9152 0.9152 0.2913  1 Cd 2.84, 2 Nd 3.15
In: 0.5000 0.5000 0.0000  4 Cd 3.20, 6 Nd 3.42-3.52



Computed, not measured: a relaxed Sm5YCu6 crystal at the GGA-PBE level of DFT.

Calculated values
Energy of formation from the pure elements = -191 meV per atom
Size of the total moment = 0.00 μB per atom

a b c (Å): 5.0226 7.0156 7.9289
angles (deg): 90.00 108.19 90.00
Last column: nearest neighbours and their distance in Å.
Sites, in units of the cell vectors:
Sm: 0.0000 0.0000 0.0000  8 Cu 3.05-3.09
Sm: 0.3330 0.0000 0.6660  8 Cu 3.07-3.09
Sm: 0.3340 0.5000 0.6678  8 Cu 3.03-3.08
Sm: 0.6660 0.5000 0.3322  8 Cu 3.03-3.08
Sm: 0.6670 0.0000 0.3340  8 Cu 3.07-3.09
Y: 0.0000 0.5000 0.0000  8 Cu 3.03-3.04
Cu: 0.1649 0.2517 0.3299  1 Y 3.03, 7 Sm 3.05-3.09
Cu: 0.1649 0.7483 0.3299  1 Y 3.03, 7 Sm 3.05-3.09
Cu: 0.5000 0.2557 0.0000  6 Sm 3.03-3.09, 2 Y 3.04
Cu: 0.5000 0.7443 0.0000  6 Sm 3.03-3.09, 2 Y 3.04
Cu: 0.8351 0.2517 0.6701  1 Y 3.03, 7 Sm 3.05-3.09
Cu: 0.8351 0.7483 0.6701  1 Y 3.03, 7 Sm 3.05-3.09



Computed, not measured: a relaxed Li4Pd crystal at the GGA-PBE level of DFT.

Calculated values
Energy of formation from the pure elements = -223 meV per atom
Size of the total moment = 0.00 μB per atom
Energy above the most stable polymorph in this dataset = 0.00 eV/f.u.

a b c (Å): 5.2910 5.2910 5.2910
angles (deg): 95.09 95.09 145.33
Last column: nearest neighbours and their distance in Å.
Sites, in units of the cell vectors:
Li: 0.0919 0.7226 0.8145  2 Pd 2.62, 6 Li 2.78-2.90
Li: 0.2774 0.0919 0.3693  2 Pd 2.62, 6 Li 2.78-2.90
Li: 0.7226 0.9081 0.6307  2 Pd 2.62, 6 Li 2.78-2.90
Li: 0.9081 0.2774 0.1855  2 Pd 2.62, 6 Li 2.78-2.90
Pd: 0.5000 0.5000 0.0000  8 Li 2.62



Computed, not measured: a relaxed AlZn3Pd crystal at the GGA-PBE level of DFT.

Calculated values
Energy of formation from the pure elements = 604 meV per atom
Size of the total moment = 0.00 μB per atom
Energy above the most stable polymorph in this dataset = 3.95 eV/f.u.

a b c (Å): 4.6857 4.6857 4.6857
angles (deg): 90.00 90.00 90.00
Last column: nearest neighbours and their distance in Å.
Sites, in units of the cell vectors:
Al: 0.0000 0.0000 0.0000  6 Zn 2.34
Zn: 0.0000 0.0000 0.5000  2 Al 2.34
Zn: 0.0000 0.5000 0.0000  2 Al 2.34
Zn: 0.5000 0.0000 0.0000  2 Al 2.34
Pd: 0.5000 0.5000 0.5000  12 Zn 3.31



Computed, not measured: a relaxed Tl2AgSe2 crystal at the GGA-PBE level of DFT.

Calculated values
Size of the total moment = 0.00 μB per atom
Energy above the most stable polymorph in this dataset = 0.00 eV/f.u.

a b c (Å): 6.3356 6.3356 6.3356
angles (deg): 143.81 104.37 86.83
Last column: nearest neighbours and their distance in Å.
Sites, in units of the cell vectors:
Tl: 0.1879 0.1879 0.0000  6 Se 3.36-3.38, 1 Tl 3.46, 2 Ag 3.48
Tl: 0.8121 0.8121 0.0000  6 Se 3.36-3.38, 1 Tl 3.46, 2 Ag 3.48
Ag: 0.5000 0.0000 0.5000  4 Se 2.66
Se: 0.2704 0.5000 0.7704  2 Ag 2.66
Se: 0.7296 0.5000 0.2296  2 Ag 2.66



Computed, not measured: a relaxed MgBeGe3 crystal at the GGA-PBE level of DFT.

Calculated values
Energy of formation from the pure elements = 362 meV per atom
Size of the total moment = 0.00 μB per atom
Energy above the most stable polymorph in this dataset = 0.00 eV/f.u.

a b c (Å): 4.5709 4.5709 4.5709
angles (deg): 90.00 90.00 90.00
Last column: nearest neighbours and their distance in Å.
Sites, in units of the cell vectors:
Mg: 0.0000 0.0000 0.0000  12 Ge 3.23
Be: 0.5000 0.5000 0.5000  6 Ge 2.29
Ge: 0.0000 0.5000 0.5000  2 Be 2.29
Ge: 0.5000 0.0000 0.5000  2 Be 2.29
Ge: 0.5000 0.5000 0.0000  2 Be 2.29